Crystalline Ta2VRhSe at its relaxed geometry. Source: the Alexandria database, functional PBE-GGA. Values from VASP.

Structure (Quantum ESPRESSO input):
```
&SYSTEM
  ibrav = 0, nat = 5, ntyp = 4
/
ATOMIC_SPECIES
V 50.94 V.upf
Rh 102.91 Rh.upf
Se 78.96 Se.upf
Ta 180.95 Ta.upf
CELL_PARAMETERS angstrom
-0.984 2.384 3.913
-3.916 -2.003 0.236
1.907 -3.426 2.566
ATOMIC_POSITIONS angstrom
V 0.000 0.000 0.000
Rh -1.496 -1.523 3.358
Se -1.958 -1.002 0.118
Ta 0.954 -1.713 1.283
Ta -0.492 1.192 1.957
```

Computed properties:
* E: -7.643 eV/atom
* ΔE_f (raw): 525 kJ/mol of formula units

***

Crystalline ZrTaRh2Se at its relaxed geometry. Source: the Alexandria database, functional PBE-GGA. Values from VASP.

Structure (Quantum ESPRESSO input):
```
&SYSTEM
  ibrav = 0, nat = 5, ntyp = 4
/
ATOMIC_SPECIES
Rh 102.91 Rh.upf
Se 78.96 Se.upf
Zr 91.22 Zr.upf
Ta 180.95 Ta.upf
CELL_PARAMETERS angstrom
4.750 0.000 0.000
0.000 5.136 0.000
0.000 0.000 4.750
ATOMIC_POSITIONS angstrom
Rh 0.000 0.000 2.375
Rh 2.375 0.000 0.000
Se 2.375 2.568 2.375
Zr 0.000 0.000 0.000
Ta 0.000 2.568 0.000
```

Computed properties:
* E: -6.342 eV/atom
* ΔE_f (raw): 664 kJ/mol of formula units

***

Crystalline Tb5Rh2Se2 at its relaxed geometry. Source: the Alexandria database, functional PBE-GGA. Values from VASP.

Structure (Quantum ESPRESSO input):
```
&SYSTEM
  ibrav = 0, nat = 18, ntyp = 3
/
ATOMIC_SPECIES
Tb 158.93 Tb.upf
Rh 102.91 Rh.upf
Se 78.96 Se.upf
CELL_PARAMETERS angstrom
7.645 0.000 0.000
0.000 6.807 -3.499
0.000 0.019 8.409
ATOMIC_POSITIONS angstrom
Tb 0.000 0.000 0.000
Tb 3.823 3.404 -1.750
Tb 6.445 5.369 -0.638
Tb 1.200 3.164 0.495
Tb 2.622 6.568 -1.254
Tb 5.023 1.965 1.111
Tb 1.200 1.458 5.547
Tb 6.445 3.663 4.414
Tb 5.023 0.259 6.164
Tb 2.622 4.862 3.798
Rh 4.871 5.856 -3.011
Rh 2.775 0.951 -0.489
Rh 1.048 4.355 -2.239
Rh 6.597 2.453 -1.261
Se 0.000 1.413 2.749
Se 3.823 4.817 0.999
Se 0.000 5.414 2.160
Se 3.823 2.010 3.910
```

Computed properties:
* E: -6.130 eV/atom
* ΔE_f (raw): -998 kJ/mol of formula units

***

Crystalline Tb7RhSe5 at its relaxed geometry. Source: the Alexandria database, functional PBE-GGA. Values from VASP.

Structure (Quantum ESPRESSO input):
```
&SYSTEM
  ibrav = 0, nat = 26, ntyp = 3
/
ATOMIC_SPECIES
Tb 158.93 Tb.upf
Rh 102.91 Rh.upf
Se 78.96 Se.upf
CELL_PARAMETERS angstrom
-0.020 -1.424 -3.705
-4.885 -3.631 3.548
-16.894 16.588 -6.281
ATOMIC_POSITIONS angstrom
Tb -8.680 0.191 -0.026
Tb -13.123 11.335 -6.410
Tb -2.021 -1.303 -1.615
Tb -19.800 12.825 -4.819
Tb -12.614 5.790 -2.155
Tb -9.185 5.752 -4.286
Tb -5.092 1.203 -0.434
Tb -16.723 10.316 -5.998
Tb -14.388 8.041 -5.137
Tb -7.406 3.495 -1.302
Tb -6.010 -2.368 -1.183
Tb -15.797 13.865 -5.241
Tb -11.273 9.455 -3.571
Tb -10.498 2.073 -2.865
Rh -7.286 0.750 -2.375
Rh -14.542 10.801 -4.070
Se -16.902 16.575 -6.276
Se -17.870 12.776 -6.937
Se -3.948 -1.256 0.504
Se -6.584 4.690 -3.892
Se -15.215 6.849 -2.548
Se -13.344 3.240 -3.298
Se -9.982 4.689 -1.747
Se -11.814 6.850 -4.693
Se -18.795 10.348 -3.873
Se -3.023 1.175 -2.561
```

Computed properties:
* E: -5.930 eV/atom
* ΔE_f (raw): -1921 kJ/mol of formula units

***

Crystalline Tb4RhSe2 at its relaxed geometry. Source: the Alexandria database, functional PBE-GGA. Values from VASP.

Structure (Quantum ESPRESSO input):
```
&SYSTEM
  ibrav = 0, nat = 14, ntyp = 3
/
ATOMIC_SPECIES
Tb 158.93 Tb.upf
Rh 102.91 Rh.upf
Se 78.96 Se.upf
CELL_PARAMETERS angstrom
-2.777 1.967 -1.808
-3.183 -4.850 3.720
-0.810 8.963 10.993
ATOMIC_POSITIONS angstrom
Tb -2.390 4.042 8.067
Tb -4.380 2.039 4.838
Tb -4.183 -0.141 2.165
Tb -2.587 6.221 10.740
Tb -6.133 4.208 9.888
Tb -0.638 1.873 3.016
Tb -1.389 0.984 -0.904
Tb -1.793 5.465 4.592
Rh -3.813 -0.812 4.972
Rh -2.958 6.893 7.933
Se -5.419 6.589 11.382
Se -1.352 -0.508 1.523
Se -5.120 3.287 7.332
Se -1.650 2.794 5.573
```

Computed properties:
* E: -5.931 eV/atom
* ΔE_f (raw): -837 kJ/mol of formula units

***

Crystalline Tb5RhSe4 at its relaxed geometry. Source: the Alexandria database, functional PBE-GGA. Values from VASP.

Structure (Quantum ESPRESSO input):
```
&SYSTEM
  ibrav = 0, nat = 10, ntyp = 3
/
ATOMIC_SPECIES
Tb 158.93 Tb.upf
Rh 102.91 Rh.upf
Se 78.96 Se.upf
CELL_PARAMETERS angstrom
-3.609 1.689 -0.899
-1.760 -3.683 0.143
0.002 2.830 14.590
ATOMIC_POSITIONS angstrom
Tb -0.498 0.340 2.637
Tb -2.684 -0.997 -0.378
Tb -4.869 0.496 11.197
Tb -1.581 1.081 8.377
Tb -3.785 -0.244 5.457
Rh 0.000 0.000 0.000
Se -2.124 1.452 11.253
Se -4.322 0.122 8.299
Se -1.045 0.714 5.535
Se -3.243 -0.615 2.581
```

Computed properties:
* E: -6.008 eV/atom
* ΔE_f (raw): -1509 kJ/mol of formula units

***

Crystalline TbRhSe2 at its relaxed geometry. Source: the Alexandria database, functional PBE-GGA. Values from VASP.

Structure (Quantum ESPRESSO input):
```
&SYSTEM
  ibrav = 0, nat = 4, ntyp = 3
/
ATOMIC_SPECIES
Rh 102.91 Rh.upf
Tb 158.93 Tb.upf
Se 78.96 Se.upf
CELL_PARAMETERS angstrom
3.767 0.000 0.000
1.884 3.262 0.000
1.884 1.087 8.214
ATOMIC_POSITIONS angstrom
Rh 3.767 2.175 4.107
Tb 0.000 0.000 0.000
Se 1.884 1.087 5.380
Se 5.651 3.262 2.834
```

Computed properties:
* E: -5.223 eV/atom
* ΔE_f (raw): -187 kJ/mol of formula units

***

Crystalline Tb6RhSe5 at its relaxed geometry. Source: the Alexandria database, functional PBE-GGA. Values from VASP.

Structure (Quantum ESPRESSO input):
```
&SYSTEM
  ibrav = 0, nat = 12, ntyp = 3
/
ATOMIC_SPECIES
Rh 102.91 Rh.upf
Tb 158.93 Tb.upf
Se 78.96 Se.upf
CELL_PARAMETERS angstrom
-3.885 1.709 -5.692
1.679 -4.323 -5.439
-3.541 -6.126 -0.920
ATOMIC_POSITIONS angstrom
Rh 0.000 0.000 0.000
Tb -3.959 -0.982 -5.059
Tb -1.034 -4.154 -4.927
Tb -0.545 -0.610 -2.671
Tb -1.662 -2.004 -8.460
Tb -4.713 -4.586 -7.124
Tb -1.788 -7.758 -6.992
Se -3.951 -3.884 -4.396
Se -0.610 -3.473 -2.124
Se -1.103 -1.307 -5.565
Se -1.253 -6.976 -4.235
Se -1.797 -4.856 -7.655
```

Computed properties:
* E: -6.010 eV/atom
* ΔE_f (raw): -1888 kJ/mol of formula units

***

Crystalline TbRhSe at its relaxed geometry. Source: the Alexandria database, functional PBE-GGA. Values from VASP.

Structure (Quantum ESPRESSO input):
```
&SYSTEM
  ibrav = 0, nat = 3, ntyp = 3
/
ATOMIC_SPECIES
Rh 102.91 Rh.upf
Tb 158.93 Tb.upf
Se 78.96 Se.upf
CELL_PARAMETERS angstrom
3.684 0.000 0.000
0.000 4.310 0.000
0.000 -2.155 3.732
ATOMIC_POSITIONS angstrom
Rh 0.552 0.000 0.000
Tb 2.463 2.155 1.244
Se 0.670 0.000 2.488
```

Computed properties:
* E: -6.325 eV/atom
* ΔE_f (raw): -338 kJ/mol of formula units

***

Crystalline Tb4RhSe3 at its relaxed geometry. Source: the Alexandria database, functional PBE-GGA. Values from VASP.

Structure (Quantum ESPRESSO input):
```
&SYSTEM
  ibrav = 0, nat = 8, ntyp = 3
/
ATOMIC_SPECIES
Rh 102.91 Rh.upf
Tb 158.93 Tb.upf
Se 78.96 Se.upf
CELL_PARAMETERS angstrom
-1.126 -0.419 3.844
-6.725 -1.390 -2.122
3.620 -6.197 0.385
ATOMIC_POSITIONS angstrom
Rh -0.563 -0.209 1.922
Tb -0.712 -1.740 -0.398
Tb -4.789 -2.760 0.406
Tb -2.393 -5.846 -1.338
Tb 0.558 -5.245 1.702
Se 1.810 -3.098 0.193
Se -2.115 -4.003 1.054
Se -3.362 -0.695 -1.061
```

Computed properties:
* E: -6.061 eV/atom
* ΔE_f (raw): -1173 kJ/mol of formula units

***

Crystalline TbRhSe at its relaxed geometry. Source: the Alexandria database, functional PBE-GGA. Values from VASP.

Structure (Quantum ESPRESSO input):
```
&SYSTEM
  ibrav = 0, nat = 12, ntyp = 3
/
ATOMIC_SPECIES
Tb 158.93 Tb.upf
Rh 102.91 Rh.upf
Se 78.96 Se.upf
CELL_PARAMETERS angstrom
7.388 0.147 0.176
0.163 6.012 0.454
2.545 2.541 6.201
ATOMIC_POSITIONS angstrom
Tb 2.477 6.781 2.986
Tb 3.240 3.489 5.070
Tb 5.219 4.094 1.725
Tb 5.876 6.716 4.410
Rh 3.322 6.734 6.206
Rh 5.398 4.858 6.409
Rh 4.952 1.044 1.249
Rh 8.315 8.116 5.474
Se 8.650 5.635 5.479
Se 7.361 6.069 1.983
Se 6.143 3.489 4.495
Se 2.386 3.732 2.155
```

Computed properties:
* E: -6.136 eV/atom
* ΔE_f (raw): -284 kJ/mol of formula units

***

Crystalline Tb4Te2RhSe at its relaxed geometry. Source: the Alexandria database, functional PBE-GGA. Values from VASP.

Structure (Quantum ESPRESSO input):
```
&SYSTEM
  ibrav = 0, nat = 8, ntyp = 4
/
ATOMIC_SPECIES
Tb 158.93 Tb.upf
Te 127.60 Te.upf
Rh 102.91 Rh.upf
Se 78.96 Se.upf
CELL_PARAMETERS angstrom
-3.442 -0.226 -2.294
-2.278 -5.820 3.991
-2.578 6.253 3.251
ATOMIC_POSITIONS angstrom
Tb -2.863 -0.213 0.576
Tb -5.434 0.420 4.371
Tb -2.679 3.324 3.691
Tb -2.177 -2.891 3.550
Te -3.010 3.014 0.478
Te -2.428 0.217 3.621
Rh -2.860 -3.023 0.848
Se 0.000 0.000 0.000
```

Computed properties:
* E: -5.769 eV/atom
* ΔE_f (raw): -1014 kJ/mol of formula units